A plane-wave DFT calculation with PBE was carried out for a geometry-optimized AcDyCrN4 structure.

Cell lengths 5.636, 5.632, 7.106 Å; angles 90.00, 108.31, 90.00 degrees
Space group P2_1/m (No. 11)
Asymmetric unit:
Ac1 0.217 0.250 0.429
Dy1 0.295 0.250 0.962
Cr1 0.260 0.750 0.182
N1 0.065 0.750 0.333
N2 0.080 0.750 0.940
N3 0.465 0.507 0.233

Summary:
The calculation puts the raw formation energy at -1.121 eV/atom. The value obtained for the total energy is -59.5 eV/f.u. As for the volume: 214 Å³ per cell.